1.
Density functional theory data (PBE) for a relaxed PuS2 crystal.

## Properties
As for the total energy: -53.37 eV per cell. The space-group type is R-3m.

POSCAR file:
```
PuS2
1.0
-5.3979 10.5900 -0.9405
-2.7543 11.4362 1.9486
-1.6561 11.6544 -1.8982
Pu S
2 4
Direct
0.9169 0.9169 0.9169 Pu
0.0831 0.0831 0.0831 Pu
0.6214 0.6214 0.6214 S
0.2126 0.2126 0.2126 S
0.7874 0.7874 0.7874 S
0.3786 0.3786 0.3786 S
```

---

2.
Density functional theory data (PBE) for a relaxed PuS2 crystal.

## Properties
As for the total energy: -26.01 eV per cell. The space-group type is R3m.

POSCAR file:
```
PuS2
1.0
1.3357 -6.3780 1.9045
4.7019 -4.6893 1.4118
2.7529 -4.1380 4.6248
Pu S
1 2
Direct
0.9997 0.9997 0.9997 Pu
0.5850 0.5850 0.5850 S
0.7478 0.7478 0.7478 S
```

---

3.
Density functional theory data (PBE) for a relaxed Pu2S3 crystal.

## Properties
As for the total energy: -98.57 eV per cell. The space-group type is R-3c.

POSCAR file:
```
Pu2S3
1.0
2.9480 0.0451 -6.3067
0.2888 5.6779 4.0181
6.1128 -3.8623 -1.0128
S Pu
6 4
Direct
0.9555 0.4555 0.2500 S
0.7500 0.9555 0.7500 S
0.0445 0.5445 0.7500 S
0.2500 0.0445 0.2500 S
0.4555 0.2500 0.7500 S
0.5445 0.7500 0.2500 S
0.8525 0.1475 0.4425 Pu
0.6475 0.3525 0.0575 Pu
0.3525 0.6475 0.9425 Pu
0.1475 0.8525 0.5575 Pu
```